Record 1
## AlZnP2O (PBE)

Data for an optimized crystal structure of AlZnP2O.

Properties
- Space group: P4/mmm
- Energy above the lowest structure with this stoichiometry: 0.0000 eV/atom
- Uncorrected formation energy: -68.7 kJ/mol of formula units

Cell: 4.980 4.980 3.350 Å, 90.00 90.00 90.00°
Atoms (fractional coordinates):
P1 0.500 0.000 0.000
P2 0.000 0.500 0.000
Zn1 0.500 0.500 0.500
O1 0.000 0.000 0.500
Al1 0.000 0.000 0.000

=====

Record 2
## AlZnPO2 (PBE)

Data for an optimized crystal structure of AlZnPO2.

Properties
- Space group: P4/mmm
- Energy above the lowest structure with this stoichiometry: 0.8587 eV/atom
- Uncorrected formation energy: 1.3 kJ/mol of formula units

Cell: 3.748 3.748 5.014 Å, 90.00 90.00 90.00°
Atoms (fractional coordinates):
Zn1 0.000 0.000 0.000
O1 0.000 0.500 0.000
O2 0.500 0.000 0.000
Al1 0.500 0.500 0.500
P1 0.000 0.000 0.500

=====

Q: What is the formula in the first record?
A: AlZnP2O

=====

Q: Which of these has the highest uncorrected formation energy?
A: AlZnPO2

=====

Q: energy above the lowest structure with this stoichiometry of number 1 (AlZnP2O)?
A: 0.0000 eV/atom

=====

Q: Look up the energy above the lowest structure with this stoichiometry of the second one.
A: 0.8587 eV/atom